[1]
{"formula": "RbInGa", "functional": "PBE", "state": "optimized geometry", "formation_energy_kcal_per_mol_atoms": -2.1, "magnetic_moment_mub_per_fu": 0.000, "dos_at_fermi_per_ev_cell": 5.3, "space_group": "Pnma, No. 62", "cell": [[17.393, 0.000, 0.000], [0.000, 4.709, 0.000], [0.000, 0.000, 5.099]], "species": ["Rb", "Rb", "Rb", "Rb", "In", "In", "In", "In", "Ga", "Ga", "Ga", "Ga"], "fractional_positions": [[0.172, 0.250, 0.195], [0.328, 0.750, 0.695], [0.672, 0.250, 0.305], [0.828, 0.750, 0.805], [0.083, 0.750, 0.657], [0.417, 0.250, 0.157], [0.583, 0.750, 0.843], [0.917, 0.250, 0.343], [0.001, 0.750, 0.166], [0.499, 0.250, 0.666], [0.501, 0.750, 0.334], [0.999, 0.250, 0.834]]}

[2]
{"formula": "RbHfIn", "functional": "PBE", "state": "optimized geometry", "formation_energy_kcal_per_mol_atoms": 7.0, "magnetic_moment_mub_per_fu": 0.000, "dos_at_fermi_per_ev_cell": 2.1, "space_group": "Cm, No. 8", "cell": [[4.249, -2.451, 0.000], [4.249, 2.451, 0.000], [-2.883, 0.000, 12.068]], "species": ["Rb", "Rb", "Hf", "Hf", "In", "In"], "fractional_positions": [[0.000, 0.000, 0.000], [0.559, 0.559, 0.662], [0.436, 0.436, 0.302], [0.813, 0.813, 0.429], [0.141, 0.141, 0.415], [0.733, 0.733, 0.195]]}

[3]
{"formula": "Tm4Te2RhS", "functional": "PBE", "state": "optimized geometry", "e_tot_ev_per_atom": -5.76, "magnetic_moment_mub_per_fu": 0.000, "dos_at_fermi_per_ev_cell": 4.4, "space_group": "P2/m, No. 10", "cell": [[7.255, 0.000, 0.000], [0.000, 4.021, 0.000], [-2.285, 0.000, 6.955]], "species": ["Tm", "Tm", "Tm", "Tm", "Te", "Te", "Rh", "S"], "fractional_positions": [[0.225, 0.000, 0.203], [0.257, 0.500, 0.791], [0.743, 0.500, 0.209], [0.775, 0.000, 0.797], [0.000, 0.000, 0.500], [0.500, 0.500, 0.500], [0.000, 0.500, 0.000], [0.500, 0.000, 0.000]]}

[4]
{"formula": "BaIn2AgPd", "functional": "PBE", "state": "optimized geometry", "formation_energy_kcal_per_mol_atoms": -6.8, "magnetic_moment_mub_per_fu": 0.000, "dos_at_fermi_per_ev_cell": 3.6, "space_group": "P4/mmm, No. 123", "cell": [[5.171, 0.000, 0.000], [0.000, 5.171, 0.000], [0.000, 0.000, 5.423]], "species": ["Ba", "In", "In", "Ag", "Pd"], "fractional_positions": [[0.000, 0.000, 0.000], [0.000, 0.500, 0.500], [0.500, 0.000, 0.500], [0.500, 0.500, 0.000], [0.500, 0.500, 0.500]]}

[5]
{"formula": "Cs8SbTe2", "functional": "PBE", "state": "optimized geometry", "e_tot_ev_per_atom": -2.19, "magnetic_moment_mub_per_fu": 0.750, "dos_at_fermi_per_ev_cell": 2.8, "space_group": "Immm, No. 71", "cell": [[-3.125, 4.995, 9.434], [3.125, -4.995, 9.434], [3.125, 4.995, -9.434]], "species": ["Cs", "Cs", "Cs", "Cs", "Cs", "Cs", "Cs", "Cs", "Sb", "Te", "Te"], "fractional_positions": [[0.130, 0.349, 0.781], [0.149, 0.149, 0.000], [0.303, 0.000, 0.303], [0.433, 0.651, 0.781], [0.567, 0.349, 0.219], [0.697, 0.000, 0.697], [0.851, 0.851, 0.000], [0.870, 0.651, 0.219], [0.000, 0.500, 0.500], [0.307, 0.807, 0.500], [0.693, 0.193, 0.500]]}

[6]
{"formula": "DyNpTc", "functional": "PBE", "state": "optimized geometry", "formation_energy_kcal_per_mol_atoms": 9.5, "magnetic_moment_mub_per_fu": 3.342, "dos_at_fermi_per_ev_cell": 7.1, "space_group": "R3m, No. 160", "cell": [[1.702, 0.983, 6.835], [-1.702, 0.983, 6.835], [0.000, -1.965, 6.835]], "species": ["Dy", "Np", "Tc"], "fractional_positions": [[0.000, 0.000, 0.000], [0.802, 0.802, 0.802], [0.555, 0.555, 0.555]]}

[7]
{"formula": "LuNb2", "functional": "PBE", "state": "optimized geometry", "formation_energy_kcal_per_mol_atoms": 2.3, "magnetic_moment_mub_per_fu": 0.000, "dos_at_fermi_per_ev_cell": 3.1, "space_group": "I4/mmm, No. 139", "cell": [[-1.746, 1.746, 5.312], [1.746, -1.746, 5.312], [1.746, 1.746, -5.312]], "species": ["Lu", "Nb", "Nb"], "fractional_positions": [[0.000, 0.000, 0.000], [0.307, 0.307, 0.000], [0.693, 0.693, 0.000]]}

[8]
{"formula": "SrZn3O", "functional": "PBE", "state": "optimized geometry", "e_tot_ev_per_atom": -2.14, "magnetic_moment_mub_per_fu": 0.000, "dos_at_fermi_per_ev_cell": 4.1, "space_group": "Pm-3m, No. 221", "cell": [[4.673, 0.000, 0.000], [0.000, 4.673, 0.000], [0.000, 0.000, 4.673]], "species": ["Sr", "Zn", "Zn", "Zn", "O"], "fractional_positions": [[0.000, 0.000, 0.000], [0.000, 0.500, 0.500], [0.500, 0.000, 0.500], [0.500, 0.500, 0.000], [0.500, 0.500, 0.500]]}

[9]
{"formula": "ZrScC3", "functional": "PBE", "state": "optimized geometry", "formation_energy_kcal_per_mol_atoms": 34.8, "magnetic_moment_mub_per_fu": 0.000, "dos_at_fermi_per_ev_cell": 2.3, "space_group": "Pm-3m, No. 221", "cell": [[4.052, 0.000, 0.000], [0.000, 4.052, 0.000], [0.000, 0.000, 4.052]], "species": ["Zr", "Sc", "C", "C", "C"], "fractional_positions": [[0.000, 0.000, 0.000], [0.500, 0.500, 0.500], [0.000, 0.500, 0.500], [0.500, 0.000, 0.500], [0.500, 0.500, 0.000]]}

[10]
{"formula": "Tb2TlCd3", "functional": "PBE", "state": "optimized geometry", "formation_energy_kcal_per_mol_atoms": -7.0, "magnetic_moment_mub_per_fu": 0.000, "dos_at_fermi_per_ev_cell": 8.7, "space_group": "Fmmm, No. 69", "cell": [[0.000, 5.006, 8.640], [3.501, 0.000, 8.640], [3.501, 5.006, 0.000]], "species": ["Tb", "Tb", "Tb", "Tb", "Tl", "Tl", "Cd", "Cd", "Cd", "Cd", "Cd", "Cd"], "fractional_positions": [[0.250, 0.250, 0.250], [0.250, 0.750, 0.750], [0.750, 0.250, 0.250], [0.750, 0.750, 0.750], [0.166, 0.166, 0.834], [0.834, 0.834, 0.166], [0.171, 0.665, 0.335], [0.335, 0.829, 0.171], [0.336, 0.336, 0.664], [0.664, 0.664, 0.336], [0.665, 0.171, 0.829], [0.829, 0.335, 0.665]]}

[11]
{"formula": "NaCaCd2", "functional": "PBE", "state": "optimized geometry", "formation_energy_kcal_per_mol_atoms": -4.2, "magnetic_moment_mub_per_fu": 0.000, "dos_at_fermi_per_ev_cell": 5.4, "space_group": "Pmmn, No. 59", "cell": [[5.358, 0.000, 0.000], [0.000, 7.165, 0.000], [0.000, 0.000, 5.656]], "species": ["Na", "Na", "Ca", "Ca", "Cd", "Cd", "Cd", "Cd"], "fractional_positions": [[0.250, 0.250, 0.208], [0.750, 0.750, 0.792], [0.250, 0.750, 0.184], [0.750, 0.250, 0.816], [0.250, 0.002, 0.671], [0.250, 0.498, 0.671], [0.750, 0.502, 0.329], [0.750, 0.998, 0.329]]}

[12]
{"formula": "ZnCu3Au3", "functional": "PBE", "state": "optimized geometry", "formation_energy_kcal_per_mol_atoms": -1.8, "magnetic_moment_mub_per_fu": 0.000, "dos_at_fermi_per_ev_cell": 4.1, "space_group": "P6_3/m, No. 176", "cell": [[7.419, 0.000, 0.000], [-3.710, 6.425, 0.000], [0.000, 0.000, 4.425]], "species": ["Zn", "Zn", "Cu", "Cu", "Cu", "Cu", "Cu", "Cu", "Au", "Au", "Au", "Au", "Au", "Au"], "fractional_positions": [[0.333, 0.667, 0.250], [0.667, 0.333, 0.750], [0.045, 0.825, 0.250], [0.175, 0.220, 0.250], [0.220, 0.045, 0.750], [0.780, 0.955, 0.250], [0.825, 0.780, 0.750], [0.955, 0.175, 0.750], [0.091, 0.638, 0.750], [0.362, 0.453, 0.750], [0.453, 0.091, 0.250], [0.547, 0.909, 0.750], [0.638, 0.547, 0.250], [0.909, 0.362, 0.250]]}